Record 1
## SbAsPdSe2 (SCAN)

Data for SbAsPdSe2 at its PBEsol-relaxed geometry.

Structure (POSCAR):
```
SbAsPdSe2
1.0
5.169 0.000 0.000
0.000 5.169 0.000
0.000 0.000 5.173
Sb As Pd Se
1 1 1 2
Cartesian
0.000 0.000 0.000 Sb
0.000 0.000 2.587 As
2.585 2.585 2.587 Pd
0.000 2.585 0.000 Se
2.585 0.000 0.000 Se
```

SG	P4/mmm, No. 123
E_tot	-125.28	eV per formula unit

---

Record 2
## ZnSiTc (SCAN)

Data for ZnSiTc at its PBEsol-relaxed geometry.

Structure (POSCAR):
```
ZnSiTc
1.0
0.000 2.864 2.864
2.864 0.000 2.864
2.864 2.864 0.000
Zn Si Tc
1 1 1
Cartesian
0.000 0.000 0.000 Zn
2.864 2.864 2.864 Si
1.432 1.432 1.432 Tc
```

SG	F-43m, No. 216
E above lowest polymorph	394	meV/atom
E_tot	-57.83	eV per formula unit

---

Record 3
## Cr2W (SCAN)

Data for Cr2W at its PBEsol-relaxed geometry.

Structure (POSCAR):
```
Cr2W
1.0
0.000 3.364 3.364
3.364 0.000 3.364
3.364 3.364 0.000
Cr W
4 2
Cartesian
0.000 0.000 0.000 Cr
1.682 1.682 0.000 Cr
1.682 0.000 1.682 Cr
0.000 1.682 1.682 Cr
2.523 2.523 2.523 W
4.205 4.205 4.205 W
```

SG	Fd-3m, No. 227
E above lowest polymorph	65	meV/atom
E_tot	-106.10	eV per formula unit

---

Record 4
## Sr3BiCl (SCAN)

Data for Sr3BiCl at its PBEsol-relaxed geometry.

Structure (POSCAR):
```
Sr3BiCl
1.0
5.552 0.000 0.000
0.000 5.552 0.000
0.000 0.000 5.552
Sr Bi Cl
3 1 1
Cartesian
0.000 0.000 2.776 Sr
0.000 2.776 0.000 Sr
2.776 0.000 0.000 Sr
2.776 2.776 2.776 Bi
0.000 0.000 0.000 Cl
```

SG	Pm-3m, No. 221
E above lowest polymorph	0	meV/atom
E_tot	-157.93	eV per formula unit

---

Record 5
## MnCdMo2 (SCAN)

Data for MnCdMo2 at its PBEsol-relaxed geometry.

Structure (POSCAR):
```
MnCdMo2
1.0
-1.873 1.873 4.361
1.873 -1.873 4.361
1.873 1.873 -4.361
Mn Cd Mo
1 1 2
Cartesian
0.000 0.000 0.000 Mn
0.000 0.000 4.361 Cd
1.873 0.000 2.181 Mo
0.000 1.873 2.181 Mo
```

SG	I4/mmm, No. 139
E_tot	-117.19	eV per formula unit

---

Record 6
## CaTlRu2 (SCAN)

Data for CaTlRu2 at its PBEsol-relaxed geometry.

Structure (POSCAR):
```
CaTlRu2
1.0
4.469 0.000 0.000
0.000 4.469 0.000
0.000 0.000 3.498
Ca Tl Ru
1 1 2
Cartesian
0.000 0.000 0.000 Ca
2.234 2.234 0.000 Tl
0.000 2.234 1.749 Ru
2.234 0.000 1.749 Ru
```

SG	P4/mmm, No. 123
E above lowest polymorph	308	meV/atom
E_tot	-149.77	eV per formula unit

---

Record 7
## Ca2HgTe (SCAN)

Data for Ca2HgTe at its PBEsol-relaxed geometry.

Structure (POSCAR):
```
Ca2HgTe
1.0
5.264 0.000 0.000
0.000 5.264 0.000
0.000 0.000 3.915
Ca Hg Te
2 1 1
Cartesian
0.000 2.632 0.000 Ca
2.632 0.000 0.000 Ca
0.000 0.000 1.957 Hg
2.632 2.632 1.957 Te
```

SG	P4/mmm, No. 123
E_tot	-128.81	eV per formula unit

---

Record 8
## CuNi2Ir (SCAN)

Data for CuNi2Ir at its PBEsol-relaxed geometry.

Structure (POSCAR):
```
CuNi2Ir
1.0
4.205 -1.288 0.000
4.205 1.288 0.000
-0.823 0.000 4.298
Cu Ni Ir
1 2 1
Cartesian
0.000 0.000 0.000 Cu
1.461 0.000 3.320 Ni
3.806 0.000 2.186 Ni
6.120 0.000 1.201 Ir
```

SG	Cm, No. 8
E_tot	-118.53	eV per formula unit

---

Record 9
## ReSnTeN2 (SCAN)

Data for ReSnTeN2 at its PBEsol-relaxed geometry.

Structure (POSCAR):
```
ReSnTeN2
1.0
3.986 0.000 0.000
0.000 3.986 0.000
0.000 0.000 5.509
Re Sn Te N
1 1 1 2
Cartesian
0.000 0.000 0.000 Re
1.993 1.993 2.754 Sn
0.000 0.000 2.754 Te
0.000 1.993 0.000 N
1.993 0.000 0.000 N
```

SG	P4/mmm, No. 123
E_tot	-159.50	eV per formula unit

---

Record 10
## YZr4O10 (SCAN)

Data for YZr4O10 at its PBEsol-relaxed geometry.

Structure (POSCAR):
```
YZr4O10
1.0
-4.051 4.051 2.559
4.051 -4.051 2.559
4.051 4.051 -2.559
Y Zr O
1 4 10
Cartesian
0.000 0.000 0.000 Y
4.877 1.617 0.000 Zr
1.617 3.226 0.000 Zr
2.435 0.826 2.559 Zr
-0.826 2.435 2.559 Zr
3.228 2.370 -1.238 O
1.682 -0.823 1.320 O
4.051 0.000 1.279 O
2.370 4.874 -1.238 O
0.823 1.682 1.320 O
3.228 2.370 1.238 O
1.682 -0.823 3.797 O
0.000 4.051 1.279 O
2.370 4.874 1.238 O
0.823 1.682 3.797 O
```

SG	I4/m, No. 87
E_tot	-266.80	eV per formula unit

---

Record 11
## ScTePb2 (SCAN)

Data for ScTePb2 at its PBEsol-relaxed geometry.

Structure (POSCAR):
```
ScTePb2
1.0
3.691 0.000 0.000
0.000 5.222 0.000
0.000 0.000 5.479
Sc Te Pb
1 1 2
Cartesian
0.000 0.000 0.000 Sc
1.846 2.611 0.000 Te
0.000 2.611 2.740 Pb
1.846 0.000 2.740 Pb
```

SG	Pmmm, No. 47
E_tot	-204.22	eV per formula unit

---

Record 12
## Zr4Ag5 (SCAN)

Data for Zr4Ag5 at its PBEsol-relaxed geometry.

Structure (POSCAR):
```
Zr4Ag5
1.0
-4.401 4.401 2.229
4.401 -4.401 2.229
4.401 4.401 -2.229
Zr Ag
4 5
Cartesian
2.879 0.000 0.000 Zr
5.923 0.000 0.000 Zr
0.000 2.879 0.000 Zr
0.000 5.923 0.000 Zr
0.000 0.000 0.000 Ag
2.940 2.940 0.000 Ag
1.461 -1.461 2.229 Ag
-1.461 1.461 2.229 Ag
1.461 1.461 2.229 Ag
```

SG	I4/mmm, No. 139
E_tot	-279.86	eV per formula unit